{"formula": "LaDy3YHo", "functional": "PBE", "state": "relaxed", "cell": [[5.681, 0.000, 0.000], [-2.840, 9.762, 1.581], [0.000, -1.237, 6.913]], "species": ["La", "La", "Y", "Y", "Dy", "Dy", "Dy", "Dy", "Dy", "Dy", "Ho", "Ho"], "fractional_positions": [[0.355, 0.711, 0.974], [0.645, 0.289, 0.026], [0.052, 0.105, 0.270], [0.948, 0.895, 0.730], [0.838, 0.676, 0.275], [0.780, 0.559, 0.755], [0.220, 0.441, 0.245], [0.162, 0.324, 0.725], [0.477, 0.954, 0.265], [0.523, 0.046, 0.735], [0.351, 0.703, 0.542], [0.649, 0.297, 0.458]], "n_ef_per_ev_atom": 1.62, "e_form_mev_per_atom": 207.5, "vol_a3_per_fu": 197.2, "magnetic_moment_mub_per_fu": 0.00, "energy_ev_per_atom": -4.76}

=====

{"formula": "LaDyYHo2", "functional": "PBE", "state": "relaxed", "cell": [[-2.197, -6.347, 2.714], [-2.946, -2.223, -7.583], [6.587, -1.216, 2.488]], "species": ["Ho", "Ho", "Ho", "Ho", "Dy", "Dy", "Y", "Y", "La", "La"], "fractional_positions": [[0.500, 0.689, 0.000], [0.000, 0.689, 0.000], [0.500, 0.311, 0.000], [0.000, 0.311, 0.000], [0.750, 0.717, 0.435], [0.250, 0.283, 0.565], [0.750, 0.997, 0.994], [0.250, 0.003, 0.006], [0.750, 0.268, 0.536], [0.250, 0.732, 0.464]], "n_ef_per_ev_atom": 1.37, "e_form_mev_per_atom": 367.7, "vol_a3_per_fu": 176.2, "magnetic_moment_mub_per_fu": 0.00, "energy_ev_per_atom": -4.66}

=====

{"formula": "La3Dy6Y2Ho", "functional": "PBE", "state": "relaxed", "cell": [[6.236, -0.002, 0.001], [-3.118, 5.400, 0.001], [-1.042, -1.804, 11.713]], "species": ["Dy", "Dy", "Dy", "Dy", "Dy", "Dy", "La", "La", "La", "Y", "Y", "Ho"], "fractional_positions": [[0.749, 0.749, 0.245], [0.081, 0.414, 0.245], [0.414, 0.081, 0.245], [0.251, 0.251, 0.755], [0.919, 0.586, 0.755], [0.586, 0.919, 0.755], [0.500, 0.500, 0.500], [0.167, 0.833, 0.500], [0.833, 0.167, 0.500], [0.667, 0.333, 0.000], [0.333, 0.667, 0.000], [0.000, 0.000, 0.000]], "n_ef_per_ev_atom": 1.45, "e_form_mev_per_atom": 22.9, "vol_a3_per_fu": 394.4, "magnetic_moment_mub_per_fu": 0.00, "energy_ev_per_atom": -4.97}

=====

{"formula": "La2Dy2YHo", "functional": "PBE", "state": "relaxed", "cell": [[-0.769, -1.100, -5.534], [-4.800, -4.963, 1.654], [-7.164, 6.810, -0.358]], "species": ["Dy", "Dy", "Dy", "Dy", "Y", "Y", "La", "La", "La", "La", "Ho", "Ho"], "fractional_positions": [[0.500, 0.258, 0.334], [0.500, 0.758, 0.666], [0.000, 0.758, 0.166], [0.000, 0.258, 0.834], [0.000, 0.008, 0.500], [0.000, 0.508, 0.500], [0.000, 0.258, 0.175], [0.500, 0.508, 0.000], [0.500, 0.008, 0.000], [0.000, 0.758, 0.825], [0.500, 0.758, 0.341], [0.500, 0.258, 0.659]], "n_ef_per_ev_atom": 1.63, "e_form_mev_per_atom": 64.0, "vol_a3_per_fu": 200.0, "magnetic_moment_mub_per_fu": 0.00, "energy_ev_per_atom": -4.95}

=====

{"formula": "La2Dy2Y2Ho", "functional": "PBE", "state": "relaxed", "cell": [[3.532, 0.000, 0.000], [-1.766, 5.690, 1.635], [0.000, 0.558, 11.924]], "species": ["Y", "Y", "La", "La", "Ho", "Dy", "Dy"], "fractional_positions": [[0.547, 0.095, 0.232], [0.453, 0.905, 0.768], [0.672, 0.344, 0.915], [0.328, 0.656, 0.085], [0.000, 0.000, 0.500], [0.229, 0.458, 0.632], [0.771, 0.542, 0.368]], "n_ef_per_ev_atom": 1.66, "e_form_mev_per_atom": 84.2, "vol_a3_per_fu": 236.4, "magnetic_moment_mub_per_fu": 0.00, "energy_ev_per_atom": -5.14}

=====

{"formula": "La2DyYHo5", "functional": "PBE", "state": "relaxed", "cell": [[-3.974, -0.114, 4.012], [-4.753, -2.716, -8.761], [2.271, -10.290, 1.958]], "species": ["Ho", "Ho", "Ho", "Ho", "Ho", "Ho", "Ho", "Ho", "Ho", "Ho", "La", "La", "La", "La", "Dy", "Dy", "Y", "Y"], "fractional_positions": [[0.300, 0.599, 0.708], [0.480, 0.960, 0.739], [0.984, 0.968, 0.525], [0.016, 0.032, 0.025], [0.520, 0.040, 0.239], [0.389, 0.777, 0.022], [0.281, 0.562, 0.307], [0.719, 0.438, 0.807], [0.611, 0.223, 0.522], [0.700, 0.401, 0.208], [0.115, 0.230, 0.319], [0.885, 0.770, 0.819], [0.113, 0.225, 0.733], [0.887, 0.775, 0.233], [0.201, 0.402, 0.011], [0.799, 0.598, 0.511], [0.413, 0.826, 0.461], [0.587, 0.174, 0.961]], "n_ef_per_ev_atom": 1.37, "e_form_mev_per_atom": 142.7, "vol_a3_per_fu": 300.8, "magnetic_moment_mub_per_fu": 0.00, "energy_ev_per_atom": -4.73}